A plane-wave DFT calculation with PBE-GGA was carried out for crystalline U2S3 at its relaxed geometry.

Structure (POSCAR):
```
U2S3
1.0
3.7912 0.0000 0.0000
0.0000 10.4674 0.0000
0.0000 0.0000 10.4997
S U
12 8
direct
0.2500 0.8693 0.0521
0.7500 0.1307 0.9479
0.7500 0.3693 0.4479
0.2500 0.6307 0.5521
0.2500 0.5542 0.8730
0.7500 0.4458 0.1270
0.7500 0.0542 0.6270
0.2500 0.9458 0.3730
0.2500 0.2048 0.2257
0.7500 0.7952 0.7743
0.7500 0.7048 0.2743
0.2500 0.2952 0.7257
0.2500 0.3175 0.9891
0.7500 0.6825 0.0109
0.7500 0.8175 0.5109
0.2500 0.1825 0.4891
0.2500 0.5106 0.3139
0.7500 0.4894 0.6861
0.7500 0.0106 0.1861
0.2500 0.9894 0.8139
```

Output
For the density of states at the Fermi level, the calculation gives 1.95 states/eV per atom. As for the calculated density: 9.122 g cm⁻³. The calculation puts the total moment at 21.68 μB per cell. Its uncorrected energy is -169.4 eV/cell.